A | Density functional theory data (PBE) for crystalline Hf2SnSb at its relaxed geometry.

Results
mass density	10.11	g cm⁻³

POSCAR file:
```
Hf2SnSb
1.0
2.052 1.185 6.731
-2.052 1.185 6.731
0.000 -2.369 6.731
Hf Sn Sb
2 1 1
direct
0.249 0.249 0.249 Hf
0.751 0.751 0.751 Hf
0.500 0.500 0.500 Sn
0.000 0.000 0.000 Sb
```

B | Density functional theory data (PBE) for crystalline Hf2SnSb at its relaxed geometry.

Results
mass density	7.17	g cm⁻³

POSCAR file:
```
Hf2SnSb
1.0
-3.252 3.252 6.544
3.252 -3.252 6.544
3.252 3.252 -6.544
Hf Sn Sb
4 2 2
direct
0.121 0.625 0.996 Hf
0.375 0.371 0.496 Hf
0.629 0.125 0.004 Hf
0.875 0.879 0.504 Hf
0.000 0.000 0.000 Sn
0.750 0.250 0.500 Sn
0.250 0.750 0.500 Sb
0.500 0.500 0.000 Sb
```

The structure with the most favorable energy is A; the runner-up is 71.9 kJ/mol of atoms above it.

A | Density functional theory data (PBE) for crystalline Hf2SnSb at its relaxed geometry.

Results
mass density	9.96	g cm⁻³

POSCAR file:
```
Hf2SnSb
1.0
2.046 1.181 6.870
-2.046 1.181 6.870
0.000 -2.363 6.870
Hf Sn Sb
2 1 1
direct
0.000 0.000 0.000 Hf
0.170 0.170 0.170 Hf
0.753 0.753 0.753 Sn
0.583 0.583 0.583 Sb
```

B | Density functional theory data (PBE) for crystalline Hf2SnSb at its relaxed geometry.

Results
mass density	11.14	g cm⁻³

POSCAR file:
```
Hf2SnSb
1.0
0.000 3.545 3.545
3.545 0.000 3.545
3.545 3.545 0.000
Hf Sn Sb
2 1 1
direct
0.250 0.250 0.250 Hf
0.750 0.750 0.750 Hf
0.000 0.000 0.000 Sn
0.500 0.500 0.500 Sb
```

The structure with the most favorable energy is A; the runner-up is 4.7 kJ/mol of atoms above it.

A | Density functional theory data (PBE) for crystalline HfSnSb2Te at its relaxed geometry.

Results
mass density	6.65	g cm⁻³

POSCAR file:
```
HfSnSb2Te
1.0
5.495 0.000 0.000
0.000 5.495 0.000
0.000 0.000 5.527
Hf Sn Sb Te
1 1 2 1
direct
0.000 0.000 0.000 Hf
0.500 0.500 0.500 Sn
0.000 0.500 0.500 Sb
0.500 0.000 0.500 Sb
0.500 0.500 0.000 Te
```

B | Density functional theory data (PBE) for crystalline HfSnSb2Te at its relaxed geometry.

Results
mass density	6.55	g cm⁻³

POSCAR file:
```
HfSnSb2Te
1.0
5.556 0.000 0.000
0.000 5.556 0.000
0.000 0.000 5.492
Hf Sn Sb Te
1 1 2 1
direct
0.000 0.000 0.000 Hf
0.500 0.500 0.500 Sn
0.000 0.500 0.000 Sb
0.500 0.000 0.000 Sb
0.000 0.000 0.500 Te
```

The structure with the most favorable energy is B; the runner-up is 76.1 kJ/mol of atoms above it.

A | Density functional theory data (PBE) for crystalline SrHfSb2 at its relaxed geometry.

Results
mass density	7.83	g cm⁻³

POSCAR file:
```
SrHfSb2
1.0
0.000 3.781 3.781
3.781 0.000 3.781
3.781 3.781 0.000
Sr Hf Sb
1 1 2
direct
0.000 0.000 0.000 Sr
0.500 0.500 0.500 Hf
0.250 0.250 0.250 Sb
0.750 0.750 0.750 Sb
```

B | Density functional theory data (PBE) for crystalline SrHfSb2 at its relaxed geometry.

Results
mass density	7.01	g cm⁻³

POSCAR file:
```
SrHfSb2
1.0
2.144 1.238 7.584
-2.144 1.238 7.584
0.000 -2.476 7.584
Sr Hf Sb
1 1 2
direct
0.000 0.000 0.000 Sr
0.500 0.500 0.500 Hf
0.237 0.237 0.237 Sb
0.763 0.763 0.763 Sb
```

C | Density functional theory data (PBE) for crystalline SrHfSb2 at its relaxed geometry.

Results
mass density	5.93	g cm⁻³

POSCAR file:
```
SrHfSb2
1.0
-3.992 3.992 4.479
3.992 -3.992 4.479
3.992 3.992 -4.479
Sr Hf Sb
2 2 4
direct
0.000 0.000 0.000 Sr
0.750 0.250 0.500 Sr
0.250 0.750 0.500 Hf
0.500 0.500 0.000 Hf
0.174 0.125 0.549 Sb
0.375 0.826 0.951 Sb
0.576 0.625 0.451 Sb
0.875 0.424 0.049 Sb
```

The structure with the most favorable energy is B; the runner-up is 31.9 kJ/mol of atoms above it.